Record 1
V2GaReI, relaxed, DFT PBE-GGA; space-group type = P4/mmm, No. 123
1.0
-3.8426 0.3696 2.4491
0.5460 -4.8020 1.5814
2.4277 1.4580 3.5889
I Re Ga V
1 1 1 2
Direct
0.0000 0.5000 0.0000
0.5000 0.5000 0.5000
0.0000 0.0000 0.0000
0.0000 0.0000 0.5000
0.5000 0.0000 0.0000


Record 2
Zn2GaReI, relaxed, DFT PBE-GGA; distance to the lowest polymorph of the same formula = 1013 meV/atom; space-group type = P4/mmm, No. 123
1.0
-5.0243 -1.5507 0.8407
0.6644 -3.8740 -3.1752
1.6191 -3.0467 4.0561
I Re Zn Ga
1 1 2 1
Direct
0.0000 0.0000 0.0000
0.0000 0.5000 0.0000
0.0000 0.0000 0.5000
0.5000 0.0000 0.0000
0.5000 0.5000 0.5000


Record 3
Zn2GaReI, relaxed, DFT PBE-GGA; distance to the lowest polymorph of the same formula = 0 meV/atom; space-group type = P4/mmm, No. 123
1.0
5.0957 0.0000 0.0000
0.0000 5.0957 0.0000
0.0000 0.0000 5.0121
I Re Zn Ga
1 1 2 1
Direct
0.5000 0.5000 0.5000
0.0000 0.0000 0.0000
0.0000 0.5000 0.0000
0.5000 0.0000 0.0000
0.0000 0.0000 0.5000


Record 4
Ga3RhI, relaxed, DFT PBE-GGA; distance to the lowest polymorph of the same formula = 0 meV/atom; space-group type = Pm-3m, No. 221
1.0
-3.0870 -2.5615 2.8721
-1.7641 -2.3305 -3.9745
3.4203 -3.5138 0.5423
I Rh Ga
1 1 3
Direct
0.5000 0.5000 0.5000
0.0000 0.0000 0.0000
0.0000 0.5000 0.0000
0.0000 0.0000 0.5000
0.5000 0.0000 0.0000


Record 5
Sm8GaRh3I4, relaxed, DFT PBE-GGA; space-group type = R-3m, No. 166
1.0
8.4095 0.0000 0.0000
0.0000 9.3069 0.6413
-4.2048 -4.2025 5.9403
Sm Ga Rh I
8 1 3 4
Direct
0.2358 0.6859 0.9504
0.2358 0.6860 0.4716
0.2699 0.3101 0.5399
0.7146 0.6859 0.9504
0.2854 0.3141 0.0496
0.7301 0.6899 0.4601
0.7642 0.3140 0.5284
0.7642 0.3141 0.0496
0.0000 0.5000 0.0000
0.5000 0.5000 0.0000
0.5000 0.5000 0.5000
0.0000 0.5000 0.5000
0.5000 0.0000 0.0000
0.5000 0.0000 0.5000
0.0000 0.0000 0.0000
0.0000 0.0000 0.5000


Record 6
GaSn2RhI, relaxed, DFT PBE-GGA; space-group type = P4/mmm, No. 123
1.0
-0.6729 -4.7255 2.1492
3.0040 -2.1219 -3.7250
3.9566 0.7051 2.7892
I Rh Sn Ga
1 1 2 1
Direct
0.5000 0.5000 0.5000
0.0000 0.0000 0.0000
0.0000 0.5000 0.0000
0.5000 0.0000 0.0000
0.0000 0.0000 0.5000


Record 7
Sr2GaRhI, relaxed, DFT PBE-GGA; space-group type = P4/mmm, No. 123
1.0
5.9093 0.0000 0.0000
0.0000 5.9093 0.0000
0.0000 0.0000 4.7669
I Sr Rh Ga
1 2 1 1
Direct
0.5000 0.5000 0.5000
0.0000 0.5000 0.0000
0.5000 0.0000 0.0000
0.0000 0.0000 0.0000
0.0000 0.0000 0.5000


Record 8
GaTe2RhI, relaxed, DFT PBE-GGA; distance to the lowest polymorph of the same formula = 704 meV/atom; space-group type = P4/mmm, No. 123
1.0
-1.4754 -4.8945 -1.5089
4.9760 -0.9978 -1.6291
1.2614 -1.9331 5.0370
I Te Rh Ga
1 2 1 1
Direct
0.0000 0.0000 0.5000
0.0000 0.5000 0.0000
0.5000 0.0000 0.0000
0.5000 0.5000 0.5000
0.0000 0.0000 0.0000


Final energy, respectively: -4.89 -2.18 -3.19 -3.95 -5.18 -4.24 -3.76 -2.76 eV/atom.
Formation energy from raw total energies, respectively: 2158.1 1736.8 723.5 -353.3 -861.6 -257.8 -696.7 884.1 meV/atom.